Record 1
A plane-wave DFT calculation with PBE was carried out for a relaxed structure of Na3Tb2ErSe6.

Computed properties:
- Spin magnetization: 0.00 μB/f.u.

Structure (CIF):
```
data_Na3Tb2ErSe6
_chemical_formula_sum 'Na3 Tb2 Er1 Se6'
_cell_length_a 7.1828
_cell_length_b 7.1828
_cell_length_c 7.4041
_cell_angle_alpha 99.31
_cell_angle_beta 99.31
_cell_angle_gamma 120.00
_space_group_name_H-M_alt 'P 1'
_space_group_IT_number 1
loop_
_space_group_symop_operation_xyz
'x,y,z'
loop_
_atom_site_label
_atom_site_type_symbol
_atom_site_fract_x
_atom_site_fract_y
_atom_site_fract_z
_atom_site_occupancy
Tb1 Tb 0.3334 0.6666 0.0000 1
Tb2 Tb 0.6666 0.3334 0.0000 1
Se1 Se 0.4068 0.0765 0.2295 1
Se2 Se 0.7462 0.7462 0.2293 1
Se3 Se 0.0765 0.4068 0.2295 1
Se4 Se 0.9235 0.5932 0.7705 1
Se5 Se 0.5932 0.9235 0.7705 1
Se6 Se 0.2538 0.2538 0.7707 1
Na1 Na 0.8329 0.1671 0.5000 1
Na2 Na 0.1671 0.8329 0.5000 1
Na3 Na 0.5000 0.5000 0.5000 1
Er1 Er 0.0000 0.0000 0.0000 1
```

---

Record 2
A plane-wave DFT calculation with PBE was carried out for a relaxed structure of NaErTeSe.

Computed properties:
- Spin magnetization: 0.00 μB/f.u.

Structure (CIF):
```
data_NaErTeSe
_chemical_formula_sum 'Na1 Er1 Te1 Se1'
_cell_length_a 4.2150
_cell_length_b 4.2148
_cell_length_c 7.9862
_cell_angle_alpha 90.04
_cell_angle_beta 105.28
_cell_angle_gamma 120.00
_space_group_name_H-M_alt 'P 1'
_space_group_IT_number 1
loop_
_space_group_symop_operation_xyz
'x,y,z'
loop_
_atom_site_label
_atom_site_type_symbol
_atom_site_fract_x
_atom_site_fract_y
_atom_site_fract_z
_atom_site_occupancy
Se1 Se 0.4912 0.1432 0.6499 1
Te1 Te 0.1214 0.9589 0.0952 1
Na1 Na 0.9719 0.3843 0.3716 1
Er1 Er 0.2933 0.5445 0.8529 1
```

---

Record 3
A plane-wave DFT calculation with PBE was carried out for a relaxed structure of Na2ErTeSe4.

Computed properties:
- Spin magnetization: 0.00 μB/f.u.

Structure (CIF):
```
data_Na2ErTeSe4
_chemical_formula_sum 'Na4 Er2 Te2 Se8'
_cell_length_a 8.2699
_cell_length_b 8.2699
_cell_length_c 8.2511
_cell_angle_alpha 117.30
_cell_angle_beta 117.30
_cell_angle_gamma 89.76
_space_group_name_H-M_alt 'P 1'
_space_group_IT_number 1
loop_
_space_group_symop_operation_xyz
'x,y,z'
loop_
_atom_site_label
_atom_site_type_symbol
_atom_site_fract_x
_atom_site_fract_y
_atom_site_fract_z
_atom_site_occupancy
Se1 Se 0.7832 0.2664 0.0404 1
Se2 Se 0.7305 0.7179 0.4761 1
Se3 Se 0.2336 0.7168 0.4596 1
Se4 Se 0.2168 0.7336 0.9596 1
Se5 Se 0.7664 0.2832 0.5404 1
Se6 Se 0.7821 0.7695 0.0239 1
Se7 Se 0.2178 0.2305 0.9761 1
Se8 Se 0.2695 0.2822 0.5239 1
Te1 Te 0.0000 0.0000 0.0000 1
Te2 Te 0.5000 0.5000 0.5000 1
Na1 Na 0.5000 0.0000 0.0000 1
Na2 Na 0.5000 0.5000 0.0000 1
Na3 Na 0.5000 0.0000 0.5000 1
Na4 Na 0.0000 0.0000 0.5000 1
Er1 Er 0.0000 0.5000 0.5000 1
Er2 Er 0.0000 0.5000 0.0000 1
```

---

Record 4
A plane-wave DFT calculation with PBE was carried out for a relaxed structure of Na3ErTe2Se6.

Computed properties:
- Spin magnetization: 0.00 μB/f.u.

Structure (CIF):
```
data_Na3ErTe2Se6
_chemical_formula_sum 'Na3 Er1 Te2 Se6'
_cell_length_a 7.5233
_cell_length_b 7.5233
_cell_length_c 7.2336
_cell_angle_alpha 99.16
_cell_angle_beta 99.16
_cell_angle_gamma 123.03
_space_group_name_H-M_alt 'P 1'
_space_group_IT_number 1
loop_
_space_group_symop_operation_xyz
'x,y,z'
loop_
_atom_site_label
_atom_site_type_symbol
_atom_site_fract_x
_atom_site_fract_y
_atom_site_fract_z
_atom_site_occupancy
Se1 Se 0.0904 0.4077 0.2243 1
Se2 Se 0.9096 0.5923 0.7757 1
Se3 Se 0.2479 0.2479 0.7646 1
Se4 Se 0.7521 0.7521 0.2354 1
Se5 Se 0.5923 0.9096 0.7757 1
Se6 Se 0.4077 0.0904 0.2243 1
Na1 Na 0.1789 0.8211 0.5000 1
Na2 Na 0.8211 0.1789 0.5000 1
Na3 Na 0.5000 0.5000 0.5000 1
Er1 Er 0.0000 0.0000 0.0000 1
Te1 Te 0.3399 0.6600 0.0000 1
Te2 Te 0.6600 0.3399 0.0000 1
```

---

Record 5
A plane-wave DFT calculation with PBE was carried out for a relaxed structure of NaEr2ThSe4.

Computed properties:
- Spin magnetization: 0.00 μB/f.u.

Structure (CIF):
```
data_NaEr2ThSe4
_chemical_formula_sum 'Na1 Er2 Th1 Se4'
_cell_length_a 4.0517
_cell_length_b 7.1321
_cell_length_c 7.2048
_cell_angle_alpha 71.58
_cell_angle_beta 90.00
_cell_angle_gamma 90.00
_space_group_name_H-M_alt 'P 1'
_space_group_IT_number 1
loop_
_space_group_symop_operation_xyz
'x,y,z'
loop_
_atom_site_label
_atom_site_type_symbol
_atom_site_fract_x
_atom_site_fract_y
_atom_site_fract_z
_atom_site_occupancy
Th1 Th 0.5000 0.5000 0.0000 1
Se1 Se 0.0000 0.7614 0.7389 1
Se2 Se 0.0000 0.2386 0.2611 1
Se3 Se 0.5000 0.7616 0.2477 1
Se4 Se 0.5000 0.2384 0.7523 1
Er1 Er 0.0000 0.0000 0.0000 1
Er2 Er 0.5000 0.0000 0.5000 1
Na1 Na 0.0000 0.5000 0.5000 1
```

---

Record 6
A plane-wave DFT calculation with PBE was carried out for a relaxed structure of Na3ErTh3Se8.

Computed properties:
- Spin magnetization: 0.00 μB/f.u.

Structure (CIF):
```
data_Na3ErTh3Se8
_chemical_formula_sum 'Na3 Er1 Th3 Se8'
_cell_length_a 8.3514
_cell_length_b 8.3515
_cell_length_c 8.6290
_cell_angle_alpha 118.96
_cell_angle_beta 90.00
_cell_angle_gamma 120.00
_space_group_name_H-M_alt 'P 1'
_space_group_IT_number 1
loop_
_space_group_symop_operation_xyz
'x,y,z'
loop_
_atom_site_label
_atom_site_type_symbol
_atom_site_fract_x
_atom_site_fract_y
_atom_site_fract_z
_atom_site_occupancy
Se1 Se 0.2514 0.5027 0.2542 1
Se2 Se 0.7486 0.4973 0.7458 1
Se3 Se 0.2485 0.0088 0.2692 1
Se4 Se 0.7603 0.5206 0.2692 1
Se5 Se 0.7515 0.9912 0.7308 1
Se6 Se 0.7603 0.0088 0.2692 1
Se7 Se 0.2397 0.4794 0.7308 1
Se8 Se 0.2397 0.9912 0.7308 1
Th1 Th 0.5000 0.5000 0.5000 1
Th2 Th 0.5000 0.0000 0.5000 1
Th3 Th 0.0000 0.5000 0.5000 1
Er1 Er 0.0000 0.0000 0.5000 1
Na1 Na 0.0000 0.5000 0.0000 1
Na2 Na 0.0000 0.0000 0.0000 1
Na3 Na 0.5000 0.5000 0.0000 1
```

---

| no. | formation energy without anion corrections (meV/atom) | DFT total energy (eV/atom) |
| --- | --- | --- |
| 1 | -1707 | -4.931 |
| 2 | -1452 | -4.579 |
| 3 | -1019 | -4.054 |
| 4 | -758 | -3.734 |
| 5 | -1625 | -5.600 |
| 6 | -1572 | -5.483 |